Arrangement P

# AcScPd (PBE-GGA, relaxed)
data_AcScPd
_chemical_formula_sum 'Ac2 Sc2 Pd2'
_symmetry_space_group_name_H-M 'P 4/n m m'
_symmetry_Int_Tables_number 129
_cell_length_a 4.774
_cell_length_b 4.774
_cell_length_c 7.095
_cell_angle_alpha 90.00
_cell_angle_beta 90.00
_cell_angle_gamma 90.00
loop_
_symmetry_equiv_pos_as_xyz
'x,y,z'
'-x,-y,-z'
'-y+1/2,x,z'
'y+1/2,-x,-z'
'-x+1/2,-y+1/2,z'
'x+1/2,y+1/2,-z'
'y,-x+1/2,z'
'-y,x+1/2,-z'
'x+1/2,-y,-z'
'-x+1/2,y,z'
'-y,-x,-z'
'y,x,z'
'-x,y+1/2,-z'
'x,-y+1/2,z'
'y+1/2,x+1/2,-z'
'-y+1/2,-x+1/2,z'
loop_
_atom_site_label
_atom_site_fract_x
_atom_site_fract_y
_atom_site_fract_z
Ac1 0.250 0.250 0.125
Sc1 0.250 0.750 0.500
Pd1 0.250 0.250 0.697
# ρ: 7.8 Mg/m³


Arrangement Q

# AcScPd (PBE-GGA, relaxed)
data_AcScPd
_chemical_formula_sum 'Ac2 Sc2 Pd2'
_symmetry_space_group_name_H-M 'I 4 m m'
_symmetry_Int_Tables_number 107
_symmetry_space_group_name_Hall 'I 4 -2'
_cell_length_a 3.599
_cell_length_b 3.599
_cell_length_c 12.309
_cell_angle_alpha 90.00
_cell_angle_beta 90.00
_cell_angle_gamma 90.00
loop_
_atom_site_label
_atom_site_fract_x
_atom_site_fract_y
_atom_site_fract_z
Ac1 0.000 0.000 0.000
Sc1 0.000 0.000 0.277
Pd1 0.000 0.000 0.681
# ρ: 7.9 Mg/m³


Most stable: arrangement P


Arrangement P

# AcPd3Se (PBE-GGA, relaxed)
data_AcPd3Se
_chemical_formula_sum 'Ac4 Pd12 Se4'
_symmetry_space_group_name_H-M 'C m c m'
_symmetry_Int_Tables_number 63
_symmetry_space_group_name_Hall '-C 2c 2'
_cell_length_a 6.628
_cell_length_b 10.588
_cell_length_c 5.992
_cell_angle_alpha 90.00
_cell_angle_beta 90.00
_cell_angle_gamma 90.00
loop_
_atom_site_label
_atom_site_fract_x
_atom_site_fract_y
_atom_site_fract_z
Ac1 0.000 0.243 0.250
Pd1 0.000 0.326 0.750
Pd2 0.208 0.500 0.000
Se1 0.000 0.095 0.750
# ρ: 9.9 Mg/m³


Arrangement Q

# AcPd3Se (PBE-GGA, relaxed)
data_AcPd3Se
_chemical_formula_sum 'Ac1 Pd3 Se1'
_symmetry_space_group_name_H-M 'P m -3 m'
_symmetry_Int_Tables_number 221
_symmetry_space_group_name_Hall '-P 4 2 3'
_cell_length_a 4.847
_cell_length_b 4.847
_cell_length_c 4.847
_cell_angle_alpha 90.00
_cell_angle_beta 90.00
_cell_angle_gamma 90.00
loop_
_atom_site_label
_atom_site_fract_x
_atom_site_fract_y
_atom_site_fract_z
Ac1 0.000 0.000 0.000
Pd1 0.000 0.500 0.500
Se1 0.500 0.500 0.500
# ρ: 9.1 Mg/m³


Most stable: arrangement P